# BeGaNiOs

An optimized crystal structure of BeGaNiOs (PBE, Alexandria via LeMat-Bulk).

Results
spin magnetization = 0.0000 μB/atom
energy of formation = -0.152 eV per atom

Cell lengths 5.752, 5.752, 5.752 Å; angles 90.00, 90.00, 90.00 degrees
Space group F-43m (No. 216)
Asymmetric unit:
1 Be 0.000 0.000 0.000 [4 per cell]
2 Ga 0.000 0.000 0.500 [4 per cell]
3 Ni 0.250 0.250 0.250 [4 per cell]
4 Os 0.250 0.250 0.750 [4 per cell]

=====

# BeGaNiP2

An optimized crystal structure of BeGaNiP2 (PBE, Alexandria via LeMat-Bulk).

Results
spin magnetization = 0.0000 μB/atom
energy of formation = 0.529 eV per atom

Cell lengths 4.214, 4.214, 4.157 Å; angles 90.00, 90.00, 90.00 degrees
Space group P4/mmm (No. 123)
Asymmetric unit:
1 Be 0.000 0.000 0.000 [1 per cell]
2 Ga 0.500 0.500 0.500 [1 per cell]
3 Ni 0.000 0.000 0.500 [1 per cell]
4 P 0.000 0.500 0.000 [2 per cell]

=====

# Pa2BeGa4Ni3

An optimized crystal structure of Pa2BeGa4Ni3 (PBE, Alexandria via LeMat-Bulk).

Results
spin magnetization = 0.0000 μB/atom
energy of formation = -0.423 eV per atom

Cell lengths 4.041, 4.041, 9.834 Å; angles 90.00, 90.00, 90.00 degrees
Space group P-4m2 (No. 115)
Asymmetric unit:
1 Pa 0.000 0.500 0.244 [2 per cell]
2 Be 0.500 0.500 0.000 [1 per cell]
3 Ga 0.000 0.000 0.500 [1 per cell]
4 Ga 0.000 0.500 0.877 [2 per cell]
5 Ga 0.500 0.500 0.500 [1 per cell]
6 Ni 0.000 0.000 0.000 [1 per cell]
7 Ni 0.000 0.500 0.639 [2 per cell]

=====

# PaBeGaNi3

An optimized crystal structure of PaBeGaNi3 (PBE, Alexandria via LeMat-Bulk).

Results
spin magnetization = 0.0000 μB/atom
energy of formation = -0.180 eV per atom

Cell lengths 6.117, 11.148, 5.183 Å; angles 90.00, 90.00, 90.00 degrees
Space group Cmcm (No. 63)
Asymmetric unit:
1 Pa 0.000 0.196 0.250 [4 per cell]
2 Be 0.000 0.122 0.750 [4 per cell]
3 Ga 0.000 0.451 0.250 [4 per cell]
4 Ni 0.000 0.325 0.750 [4 per cell]
5 Ni 0.195 0.000 0.000 [8 per cell]

=====

# BeGaReNi2

An optimized crystal structure of BeGaReNi2 (PBE, Alexandria via LeMat-Bulk).

Results
spin magnetization = 0.0000 μB/atom
energy of formation = 1.228 eV per atom

Cell lengths 4.521, 4.521, 4.355 Å; angles 90.00, 90.00, 90.00 degrees
Space group P4/mmm (No. 123)
Asymmetric unit:
1 Be 0.000 0.000 0.000 [1 per cell]
2 Ga 0.500 0.500 0.000 [1 per cell]
3 Re 0.000 0.000 0.500 [1 per cell]
4 Ni 0.000 0.500 0.500 [2 per cell]

=====

# BeGaNiSb

An optimized crystal structure of BeGaNiSb (PBE, Alexandria via LeMat-Bulk).

Results
formation energy (no corrections) = -0.111 eV/atom
distance to the lowest polymorph of the same formula = 0 meV/atom
spin magnetization = 0.0000 μB/atom

Cell lengths 3.9597, 3.9597, 4.6457 Å; angles 90.00, 90.00, 120.00 degrees
Space group P3m1 (No. 156)
Asymmetric unit:
1 Be 0.0000 0.0000 0.0000 [1 per cell]
2 Ga 0.3333 0.6667 0.7317 [1 per cell]
3 Ni 0.0000 0.0000 0.5177 [1 per cell]
4 Sb 0.6667 0.3333 0.2625 [1 per cell]

=====

# BeGaNiSb

An optimized crystal structure of BeGaNiSb (PBE, Alexandria via LeMat-Bulk).

Results
formation energy (no corrections) = -0.006 eV/atom
distance to the lowest polymorph of the same formula = 105 meV/atom
spin magnetization = 0.0000 μB/atom

Cell lengths 7.858, 3.103, 5.619 Å; angles 90.00, 103.48, 90.00 degrees
Space group Cm (No. 8)
Asymmetric unit:
1 Be 0.000 0.000 0.000 [2 per cell]
2 Ga 0.205 0.500 0.914 [2 per cell]
3 Ni 0.381 0.000 0.709 [2 per cell]
4 Sb 0.045 0.000 0.450 [2 per cell]

=====

# BeGaNiSb

An optimized crystal structure of BeGaNiSb (PBE, Alexandria via LeMat-Bulk).

Results
formation energy (no corrections) = -0.007 eV/atom
distance to the lowest polymorph of the same formula = 104 meV/atom
spin magnetization = 0.0000 μB/atom

Cell lengths 3.035, 3.790, 10.903 Å; angles 90.00, 90.00, 90.00 degrees
Space group Amm2 (No. 38)
Asymmetric unit:
1 Be 0.000 0.000 0.000 [2 per cell]
2 Ga 0.500 0.000 0.500 [2 per cell]
3 Ni 0.500 0.000 0.155 [2 per cell]
4 Sb 0.000 0.000 0.767 [2 per cell]

=====

# BeGaNiSb

An optimized crystal structure of BeGaNiSb (PBE, Alexandria via LeMat-Bulk).

Results
formation energy (no corrections) = -0.035 eV/atom
distance to the lowest polymorph of the same formula = 76 meV/atom
spin magnetization = 0.0000 μB/atom

Cell lengths 3.659, 3.701, 4.853 Å; angles 90.00, 112.26, 90.00 degrees
Space group Pm (No. 6)
Asymmetric unit:
1 Be 0.000 0.000 0.000 [1 per cell]
2 Ga 0.287 0.000 0.573 [1 per cell]
3 Ni 0.862 0.500 0.722 [1 per cell]
4 Sb 0.573 0.500 0.143 [1 per cell]

=====

# BeGaNiSb

An optimized crystal structure of BeGaNiSb (PBE, Alexandria via LeMat-Bulk).

Results
formation energy (no corrections) = -0.002 eV/atom
distance to the lowest polymorph of the same formula = 108 meV/atom
spin magnetization = 0.0000 μB/atom

Cell lengths 2.901, 2.933, 7.840 Å; angles 90.00, 90.00, 90.00 degrees
Space group Pmm2 (No. 25)
Asymmetric unit:
1 Be 0.000 0.000 0.000 [1 per cell]
2 Ga 0.000 0.000 0.321 [1 per cell]
3 Ni 0.500 0.500 0.140 [1 per cell]
4 Sb 0.000 0.000 0.673 [1 per cell]

=====

# BeGaNiSb

An optimized crystal structure of BeGaNiSb (PBE, Alexandria via LeMat-Bulk).

Results
formation energy (no corrections) = 0.014 eV/atom
distance to the lowest polymorph of the same formula = 124 meV/atom
spin magnetization = 0.0000 μB/atom

Cell lengths 3.768, 4.662, 4.716 Å; angles 118.93, 113.18, 90.01 degrees
Space group P1 (No. 1)
Asymmetric unit:
1 Be 0.000 0.000 0.000 [1 per cell]
2 Ga 0.288 0.522 0.576 [1 per cell]
3 Ni 0.998 0.513 0.996 [1 per cell]
4 Sb 0.693 0.939 0.390 [1 per cell]

=====

# BeGaNiSb

An optimized crystal structure of BeGaNiSb (PBE, Alexandria via LeMat-Bulk).

Results
formation energy (no corrections) = -0.034 eV/atom
distance to the lowest polymorph of the same formula = 77 meV/atom
spin magnetization = 0.0000 μB/atom

Cell lengths 2.888, 3.988, 11.298 Å; angles 90.00, 90.00, 90.00 degrees
Space group Amm2 (No. 38)
Asymmetric unit:
1 Be 0.000 0.000 0.000 [2 per cell]
2 Ga 0.000 0.000 0.366 [2 per cell]
3 Ni 0.500 0.000 0.840 [2 per cell]
4 Sb 0.000 0.000 0.639 [2 per cell]